{"formula": "UZnSi", "functional": "PBE", "state": "relaxed", "formation_energy_uncorrected_ev_per_atom": 0.11, "cell": [[-2.7957, 0.0000, 0.0000], [0.0000, -2.7957, 0.0000], [1.3978, 1.3978, 6.5288]], "species": ["Zn", "U", "Si"], "fractional_positions": [[0.9375, 0.9375, 0.8750], [0.6228, 0.6228, 0.2457], [0.2896, 0.2896, 0.5793]]}

---

{"formula": "UZnSi", "functional": "PBE", "state": "relaxed", "formation_energy_uncorrected_ev_per_atom": 0.24, "cell": [[5.7809, 0.0000, 0.0000], [2.8904, 3.4240, 0.0000], [2.8904, 0.0000, 6.0272]], "species": ["Si", "Si", "U", "U", "Zn", "Zn"], "fractional_positions": [[0.3993, 0.0000, 0.2015], [0.6007, 0.0000, 0.7985], [0.2500, 0.5000, 0.5000], [0.7500, 0.5000, 0.5000], [0.1765, 0.6469, 0.0000], [0.8235, 0.3531, 0.0000]]}

---

| no. | mass density (g/cm3) | calculated total energy (eV per atom) | N(E_F) (states/eV/cell) |
| --- | --- | --- | --- |
| 1 | 10.79 | -5.883 | 3.6 |
| 2 | 9.23 | -5.755 | 9.4 |